Record 1
Rb3Pm2YO6: optimized geometry, GGA-PBE.

Cell: 6.232 6.232 6.909 Å, 98.64 98.64 120.01°
Fractional positions:
Rb 0.000 0.000 0.000
Rb 0.334 0.666 0.000
Rb 0.666 0.334 0.000
Pm 0.167 0.833 0.500
Pm 0.833 0.167 0.500
Y 0.500 0.500 0.500
O 0.114 0.441 0.322
O 0.233 0.233 0.678
O 0.441 0.114 0.322
O 0.559 0.886 0.678
O 0.767 0.767 0.322
O 0.886 0.559 0.678

Properties
calculated total energy = -80.01 eV per formula unit
density of states at the Fermi level = 0.0000 states/eV/atom
V = 222 Å³ per cell
magnetic moment = 0.0 μB/f.u.
ΔE_f (raw) = -2.62 eV per atom

Record 2
Rb3PmY2O6: optimized geometry, GGA-PBE.

Cell: 6.164 6.164 6.891 Å, 98.57 98.57 120.01°
Fractional positions:
Rb 0.000 0.000 0.000
Rb 0.333 0.667 0.000
Rb 0.667 0.333 0.000
Pm 0.500 0.500 0.500
Y 0.167 0.833 0.500
Y 0.833 0.167 0.500
O 0.100 0.441 0.323
O 0.218 0.218 0.677
O 0.441 0.100 0.323
O 0.559 0.900 0.677
O 0.782 0.782 0.323
O 0.900 0.559 0.677

Properties
calculated total energy = -82.08 eV per formula unit
density of states at the Fermi level = 0.0000 states/eV/atom
V = 216 Å³ per cell
magnetic moment = 0.0 μB/f.u.
ΔE_f (raw) = -2.65 eV per atom

Record 3
Rb4Pm3ZnO8: optimized geometry, GGA-PBE.

Cell: 7.230 7.230 7.664 Å, 116.37 116.37 57.94°
Fractional positions:
Rb 0.000 0.000 0.000
Rb 0.000 0.500 0.000
Rb 0.500 0.000 0.000
Rb 0.500 0.500 0.000
Pm 0.000 0.000 0.500
Pm 0.000 0.500 0.500
Pm 0.500 0.000 0.500
Zn 0.500 0.500 0.500
O 0.220 0.220 0.680
O 0.240 0.240 0.290
O 0.249 0.700 0.664
O 0.300 0.751 0.336
O 0.700 0.249 0.664
O 0.751 0.300 0.336
O 0.760 0.760 0.710
O 0.780 0.780 0.320

Properties
calculated total energy = -92.97 eV per formula unit
density of states at the Fermi level = 0.6497 states/eV/atom
V = 293 Å³ per cell
magnetic moment = 1.2 μB/f.u.
ΔE_f (raw) = -2.12 eV per atom

Record 4
Rb2PmZn2O4: optimized geometry, GGA-PBE.

Cell: 7.457 7.457 6.940 Å, 107.06 107.06 27.02°
Fractional positions:
Rb 0.130 0.130 0.061
Rb 0.870 0.870 0.939
Pm 0.000 0.000 0.500
Zn 0.317 0.317 0.466
Zn 0.683 0.683 0.534
O 0.173 0.173 0.687
O 0.452 0.452 0.680
O 0.548 0.548 0.320
O 0.827 0.827 0.313

Properties
calculated total energy = -44.13 eV per formula unit
density of states at the Fermi level = 0.2071 states/eV/atom
V = 167 Å³ per cell
magnetic moment = 0.0 μB/f.u.
ΔE_f (raw) = -1.67 eV per atom

Record 5
Rb3Pm3ZrO8: optimized geometry, GGA-PBE.

Cell: 7.812 7.812 7.812 Å, 53.92 53.92 53.92°
Fractional positions:
Rb 0.000 0.500 0.500
Rb 0.500 0.000 0.500
Rb 0.500 0.500 0.000
Pm 0.000 0.000 0.500
Pm 0.000 0.500 0.000
Pm 0.500 0.000 0.000
Zr 0.500 0.500 0.500
O 0.225 0.225 0.225
O 0.251 0.708 0.708
O 0.292 0.292 0.749
O 0.292 0.749 0.292
O 0.708 0.251 0.708
O 0.708 0.708 0.251
O 0.749 0.292 0.292
O 0.775 0.775 0.775

Properties
calculated total energy = -106.76 eV per formula unit
density of states at the Fermi level = 0.0000 states/eV/atom
V = 289 Å³ per cell
magnetic moment = 0.0 μB/f.u.
ΔE_f (raw) = -2.76 eV per atom

Record 6
Pm5Re2O12: optimized geometry, GGA-PBE.

Cell: 7.034 7.034 7.794 Å, 106.28 106.28 48.36°
Fractional positions:
Pm 0.000 0.000 0.000
Pm 0.306 0.306 0.144
Pm 0.314 0.314 0.672
Pm 0.686 0.686 0.328
Pm 0.694 0.694 0.856
Re 0.213 0.787 0.500
Re 0.787 0.213 0.500
O 0.000 0.000 0.299
O 0.000 0.000 0.701
O 0.088 0.590 0.420
O 0.097 0.593 0.924
O 0.407 0.903 0.076
O 0.410 0.912 0.580
O 0.499 0.499 0.331
O 0.501 0.501 0.669
O 0.590 0.088 0.420
O 0.593 0.097 0.924
O 0.903 0.407 0.076
O 0.912 0.410 0.580

Properties
calculated total energy = -161.84 eV per formula unit
density of states at the Fermi level = 0.1500 states/eV/atom
V = 274 Å³ per cell
magnetic moment = 0.6 μB/f.u.
ΔE_f (raw) = -2.83 eV per atom

Record 7
Pm2ReO8: optimized geometry, GGA-PBE.

Cell: 7.558 7.558 4.847 Å, 104.36 104.36 29.53°
Fractional positions:
Pm 0.177 0.177 0.187
Pm 0.823 0.823 0.813
Re 0.500 0.500 0.500
O 0.016 0.016 0.714
O 0.240 0.240 0.780
O 0.377 0.377 0.498
O 0.458 0.458 0.048
O 0.542 0.542 0.952
O 0.623 0.623 0.502
O 0.760 0.760 0.220
O 0.984 0.984 0.286

Properties
calculated total energy = -81.57 eV per formula unit
density of states at the Fermi level = 0.2229 states/eV/atom
V = 132 Å³ per cell
magnetic moment = 0.0 μB/f.u.
ΔE_f (raw) = -1.81 eV per atom
offset from the most stable computed form = 1.18 eV per formula unit

Record 8
Pm3ReO7: optimized geometry, GGA-PBE.

Cell: 6.645 6.645 7.602 Å, 90.00 90.00 108.70°
Fractional positions:
Pm 0.033 0.033 0.000
Pm 0.035 0.499 0.257
Pm 0.499 0.035 0.743
Pm 0.501 0.965 0.243
Pm 0.965 0.501 0.757
Pm 0.967 0.967 0.500
Re 0.500 0.500 0.000
Re 0.500 0.500 0.500
O 0.130 0.870 0.750
O 0.137 0.863 0.250
O 0.180 0.421 0.977
O 0.198 0.448 0.536
O 0.421 0.180 0.023
O 0.436 0.564 0.250
O 0.448 0.198 0.464
O 0.552 0.802 0.964
O 0.564 0.436 0.750
O 0.579 0.820 0.523
O 0.802 0.552 0.036
O 0.820 0.579 0.477
O 0.863 0.137 0.750
O 0.870 0.130 0.250

Properties
calculated total energy = -92.53 eV per formula unit
density of states at the Fermi level = 0.2831 states/eV/atom
V = 318 Å³ per cell
magnetic moment = 2.0 μB/f.u.
ΔE_f (raw) = -2.83 eV per atom

Record 9
PmRe3O12: optimized geometry, GGA-PBE.

Cell: 10.472 10.472 10.472 Å, 50.86 50.86 50.86°
Fractional positions:
Pm 0.000 0.000 0.000
Pm 0.500 0.500 0.500
Re 0.098 0.363 0.720
Re 0.220 0.863 0.598
Re 0.363 0.720 0.098
Re 0.598 0.220 0.863
Re 0.720 0.098 0.363
Re 0.863 0.598 0.220
O 0.070 0.473 0.105
O 0.105 0.070 0.473
O 0.151 0.202 0.667
O 0.167 0.702 0.651
O 0.167 0.864 0.795
O 0.202 0.667 0.151
O 0.290 0.951 0.967
O 0.295 0.364 0.667
O 0.364 0.667 0.295
O 0.451 0.790 0.467
O 0.467 0.451 0.790
O 0.473 0.105 0.070
O 0.570 0.605 0.973
O 0.605 0.973 0.570
O 0.651 0.167 0.702
O 0.667 0.151 0.202
O 0.667 0.295 0.364
O 0.702 0.651 0.167
O 0.790 0.467 0.451
O 0.795 0.167 0.864
O 0.864 0.795 0.167
O 0.951 0.967 0.290
O 0.967 0.290 0.951
O 0.973 0.570 0.605

Properties
calculated total energy = -132.03 eV per formula unit
density of states at the Fermi level = 0.0000 states/eV/atom
V = 637 Å³ per cell
magnetic moment = 0.0 μB/f.u.
ΔE_f (raw) = -1.90 eV per atom

Record 10
Pm2ReO8: optimized geometry, GGA-PBE.

Cell: 6.465 6.465 4.640 Å, 105.84 105.84 114.75°
Fractional positions:
Pm 0.188 0.812 0.000
Pm 0.812 0.188 0.000
Re 0.415 0.415 0.780
O 0.069 0.647 0.421
O 0.189 0.189 0.362
O 0.201 0.439 0.966
O 0.439 0.201 0.966
O 0.496 0.730 0.804
O 0.647 0.069 0.421
O 0.730 0.496 0.804
O 0.879 0.879 0.650

Properties
calculated total energy = -82.75 eV per formula unit
V = 152 Å³ per cell
magnetic moment = 3.0 μB/f.u.
ΔE_f (raw) = -1.92 eV per atom
offset from the most stable computed form = 0.00 eV per formula unit

Record 11
Pm4ReO10: optimized geometry, GGA-PBE.

Cell: 6.626 6.626 6.626 Å, 99.92 99.92 130.95°
Fractional positions:
Pm 0.099 0.696 0.795
Pm 0.304 0.099 0.403
Pm 0.696 0.901 0.597
Pm 0.901 0.304 0.205
Re 0.500 0.500 0.000
O 0.107 0.375 0.918
O 0.188 0.107 0.732
O 0.250 0.750 0.500
O 0.375 0.457 0.268
O 0.457 0.188 0.082
O 0.543 0.812 0.918
O 0.625 0.543 0.732
O 0.750 0.250 0.500
O 0.812 0.893 0.268
O 0.893 0.625 0.082

Properties
calculated total energy = -118.78 eV per formula unit
density of states at the Fermi level = 0.6332 states/eV/atom
V = 200 Å³ per cell
magnetic moment = 0.6 μB/f.u.
ΔE_f (raw) = -2.52 eV per atom

Record 12
PmReO5: optimized geometry, GGA-PBE.

Cell: 5.617 5.617 7.634 Å, 109.89 109.89 70.93°
Fractional positions:
Pm 0.053 0.947 0.750
Pm 0.947 0.053 0.250
Re 0.500 0.500 0.000
Re 0.500 0.500 0.500
O 0.204 0.775 0.036
O 0.225 0.796 0.464
O 0.264 0.295 0.387
O 0.295 0.264 0.887
O 0.433 0.567 0.750
O 0.567 0.433 0.250
O 0.705 0.736 0.113
O 0.736 0.705 0.613
O 0.775 0.204 0.536
O 0.796 0.225 0.964

Properties
calculated total energy = -57.58 eV per formula unit
V = 207 Å³ per cell
magnetic moment = 0.0 μB/f.u.
ΔE_f (raw) = -2.23 eV per atom